No. 1
# InGeB2Ru (GGA-PBE, optimized geometry)
data_InGeB2Ru
_space_group_name_H-M_alt 'P 1'
_space_group_IT_number 1
_cell_length_a 3.987
_cell_length_b 5.512
_cell_length_c 3.987
_cell_angle_alpha 90.00
_cell_angle_beta 90.00
_cell_angle_gamma 90.00
loop_
_space_group_symop_operation_xyz
'x,y,z'
loop_
_atom_site_label
_atom_site_fract_x
_atom_site_fract_y
_atom_site_fract_z
B1 0.500 0.000 0.000
B2 0.000 0.000 0.500
In1 0.000 0.500 0.000
Ru1 0.500 0.500 0.500
Ge1 0.000 0.000 0.000
# ΔE_f: 1.759 eV/atom
# total DFT energy (no corrections): -21.19 eV per cell

=====

No. 2
# Rb2Tl10Pb (GGA-PBE, optimized geometry)
data_Rb2Tl10Pb
_space_group_name_H-M_alt 'P 1'
_space_group_IT_number 1
_cell_length_a 7.207
_cell_length_b 13.073
_cell_length_c 11.768
_cell_angle_alpha 90.00
_cell_angle_beta 90.00
_cell_angle_gamma 90.00
loop_
_space_group_symop_operation_xyz
'x,y,z'
loop_
_atom_site_label
_atom_site_fract_x
_atom_site_fract_y
_atom_site_fract_z
Tl1 0.000 0.801 0.179
Tl2 0.000 0.119 0.537
Tl3 0.000 0.881 0.463
Tl4 0.265 0.312 0.584
Tl5 0.265 0.688 0.416
Tl6 0.000 0.947 0.734
Tl7 0.000 0.553 0.234
Tl8 0.000 0.053 0.266
Tl9 0.265 0.812 0.916
Tl10 0.000 0.199 0.821
Tl11 0.000 0.699 0.679
Tl12 0.735 0.312 0.584
Tl13 0.000 0.447 0.766
Tl14 0.000 0.619 0.963
Tl15 0.000 0.301 0.321
Tl16 0.735 0.688 0.416
Tl17 0.000 0.381 0.037
Tl18 0.735 0.188 0.084
Tl19 0.265 0.188 0.084
Tl20 0.735 0.812 0.916
Pb1 0.000 0.000 0.000
Pb2 0.000 0.500 0.500
Rb1 0.500 0.383 0.867
Rb2 0.500 0.617 0.133
Rb3 0.500 0.117 0.367
Rb4 0.500 0.883 0.633
# ΔE_f: 0.044 eV/atom
# total DFT energy (no corrections): -57.47 eV per cell

=====

No. 3
# SrLa4Al (GGA-PBE, optimized geometry)
data_SrLa4Al
_space_group_name_H-M_alt 'P 1'
_space_group_IT_number 1
_cell_length_a 6.730
_cell_length_b 6.730
_cell_length_c 6.730
_cell_angle_alpha 60.00
_cell_angle_beta 60.00
_cell_angle_gamma 60.00
loop_
_space_group_symop_operation_xyz
'x,y,z'
loop_
_atom_site_label
_atom_site_fract_x
_atom_site_fract_y
_atom_site_fract_z
La1 0.889 0.370 0.370
La2 0.370 0.889 0.370
La3 0.370 0.370 0.370
La4 0.370 0.370 0.889
Sr1 0.750 0.750 0.750
Al1 0.000 0.000 0.000
# ΔE_f: 0.268 eV/atom
# total DFT energy (no corrections): -23.53 eV per cell

=====

No. 4
# Ta2TiI (GGA-PBE, optimized geometry)
data_Ta2TiI
_space_group_name_H-M_alt 'P 1'
_space_group_IT_number 1
_cell_length_a 4.753
_cell_length_b 4.753
_cell_length_c 4.753
_cell_angle_alpha 60.00
_cell_angle_beta 60.00
_cell_angle_gamma 60.00
loop_
_space_group_symop_operation_xyz
'x,y,z'
loop_
_atom_site_label
_atom_site_fract_x
_atom_site_fract_y
_atom_site_fract_z
Ta1 0.750 0.750 0.750
Ta2 0.250 0.250 0.250
I1 0.500 0.500 0.500
Ti1 0.000 0.000 0.000
# formation energy from raw total energies: 313 kJ/mol of formula units
# total DFT energy (no corrections): -29.91 eV per cell
# offset from the most stable computed form: 34 meV per atom

=====

No. 5
# Zn2OsSe (GGA-PBE, optimized geometry)
data_Zn2OsSe
_space_group_name_H-M_alt 'P 1'
_space_group_IT_number 1
_cell_length_a 7.243
_cell_length_b 7.243
_cell_length_c 5.736
_cell_angle_alpha 50.85
_cell_angle_beta 50.85
_cell_angle_gamma 90.00
loop_
_space_group_symop_operation_xyz
'x,y,z'
loop_
_atom_site_label
_atom_site_fract_x
_atom_site_fract_y
_atom_site_fract_z
Se1 0.500 0.500 0.000
Se2 0.250 0.750 0.500
Zn1 0.122 0.625 0.250
Zn2 0.375 0.372 0.750
Zn3 0.628 0.125 0.250
Zn4 0.875 0.878 0.750
Os1 0.750 0.250 0.500
Os2 0.000 0.000 0.000
# formation energy from raw total energies: 243 kJ/mol of formula units
# total DFT energy (no corrections): -29.49 eV per cell

=====

No. 6
# SrTmSi2Pt5 (GGA-PBE, optimized geometry)
data_SrTmSi2Pt5
_space_group_name_H-M_alt 'P 1'
_space_group_IT_number 1
_cell_length_a 4.131
_cell_length_b 4.131
_cell_length_c 11.114
_cell_angle_alpha 90.00
_cell_angle_beta 90.00
_cell_angle_gamma 90.00
loop_
_space_group_symop_operation_xyz
'x,y,z'
loop_
_atom_site_label
_atom_site_fract_x
_atom_site_fract_y
_atom_site_fract_z
Si1 0.500 0.500 0.711
Si2 0.500 0.500 0.289
Pt1 0.500 0.000 0.183
Pt2 0.000 0.500 0.183
Pt3 0.500 0.500 0.500
Pt4 0.000 0.500 0.817
Pt5 0.500 0.000 0.817
Tm1 0.000 0.000 0.000
Sr1 0.000 0.000 0.500
# formation energy from raw total energies: -795 kJ/mol of formula units
# total DFT energy (no corrections): -55.44 eV per cell

=====

No. 7
# KLiBi2Cl8 (GGA-PBE, optimized geometry)
data_KLiBi2Cl8
_space_group_name_H-M_alt 'P 1'
_space_group_IT_number 1
_cell_length_a 6.828
_cell_length_b 6.647
_cell_length_c 8.458
_cell_angle_alpha 90.00
_cell_angle_beta 90.00
_cell_angle_gamma 82.49
loop_
_space_group_symop_operation_xyz
'x,y,z'
loop_
_atom_site_label
_atom_site_fract_x
_atom_site_fract_y
_atom_site_fract_z
Bi1 0.500 0.500 0.240
Bi2 0.500 0.500 0.760
Cl1 0.174 0.774 0.786
Cl2 0.826 0.226 0.786
Cl3 0.174 0.774 0.214
Cl4 0.344 0.289 0.000
Cl5 0.826 0.226 0.214
Cl6 0.647 0.702 0.500
Cl7 0.656 0.711 0.000
Cl8 0.353 0.298 0.500
K1 0.000 0.000 0.500
Li1 0.000 0.000 0.000
# formation energy from raw total energies: -1465 kJ/mol of formula units
# total DFT energy (no corrections): -40.73 eV per cell

=====

No. 8
# SrSi3Os (GGA-PBE, optimized geometry)
data_SrSi3Os
_space_group_name_H-M_alt 'P 1'
_space_group_IT_number 1
_cell_length_a 4.760
_cell_length_b 4.760
_cell_length_c 4.760
_cell_angle_alpha 90.00
_cell_angle_beta 90.00
_cell_angle_gamma 90.00
loop_
_space_group_symop_operation_xyz
'x,y,z'
loop_
_atom_site_label
_atom_site_fract_x
_atom_site_fract_y
_atom_site_fract_z
Si1 0.000 0.500 0.000
Si2 0.500 0.000 0.000
Si3 0.000 0.000 0.500
Os1 0.000 0.000 0.000
Sr1 0.500 0.500 0.500
# formation energy from raw total energies: 92 kJ/mol of formula units
# total DFT energy (no corrections): -28.23 eV per cell